Compound: AlHgRh2
Source: Alexandria
Functional: GGA-PBEsol
Structure: relaxed

The formation energy comes out at -0.374 eV per atom. The calculation puts the relative energy among the computed polymorphs at 0.135 eV per atom.

```
4
Lattice="-1.824 -3.075 -2.547 -0.375 -4.123 1.462 -3.954 -1.621 1.006" Properties=species:S:1:pos:R:3 pbc="T T T"
Rh -4.616 -6.614 -0.059
Rh -1.539 -2.205 -0.020
Hg -3.077 -4.409 -0.040
Al 0.000 0.000 0.000
```


Compound: AsIN3
Source: Alexandria
Functional: GGA-PBEsol
Structure: relaxed

Its formation energy without anion corrections is 2130 meV/atom.

```
5
Lattice="3.982 0.000 0.000 0.000 3.982 0.000 0.000 0.000 3.982" Properties=species:S:1:pos:R:3 pbc="T T T"
I 0.000 0.000 0.000
As 1.991 1.991 1.991
N 0.000 1.991 0.000
N 0.000 0.000 1.991
N 1.991 0.000 0.000
```


Compound: InH2Pb
Source: Alexandria
Functional: GGA-PBEsol
Structure: relaxed

```
8
Lattice="-3.534 -1.792 3.766 -1.590 -0.428 -5.663 0.081 -4.965 -2.286" Properties=species:S:1:pos:R:3 pbc="T T T"
Pb -3.385 -5.282 -1.721
Pb 0.000 0.000 0.000
H -1.869 -5.045 -5.451
H -3.065 -3.148 -3.077
H -1.706 -1.829 -0.487
H -3.446 -4.348 0.649
In -1.658 -1.903 -2.462
In -1.726 -3.378 0.740
```


Compound: Eu2O3
Source: Alexandria
Functional: GGA-PBEsol
Structure: relaxed

Its formation energy without anion corrections is -2859 meV/atom.

```
5
Lattice="-0.077 -3.038 -2.191 2.049 2.975 -0.994 4.564 -2.185 2.870" Properties=species:S:1:pos:R:3 pbc="T T T"
Eu 2.450 0.439 -0.695
Eu 4.086 -2.688 0.381
O 0.000 0.000 0.000
O 4.301 -0.447 0.469
O 2.235 -1.802 -0.783
```


| no. | magnetic moment (μB/f.u.) | calculated volume (Å³ per cell) | VASP energy (eV/atom) |
| --- | --- | --- | --- |
| 1 | 0.0 | 60 | -5.61 |
| 2 | 0.0 | 63 | -4.36 |
| 3 | 0.0 | 133 | -2.98 |
| 4 | 12.0 | 71 | -10.23 |